The following is a DFT calculation (PBE-GGA) of a geometry-optimized Na3NpU2S6 structure.

Structure (POSCAR):
```
Na3NpU2S6
1.0
8.8444 -1.9847 0.0000
8.8444 1.9847 0.0000
-2.1737 0.0000 7.8567
Na Np U S
3 1 2 6
Cartesian
0.0000 0.0000 0.0000
4.4673 0.0000 5.2260
11.0477 0.0000 2.6308
-1.0869 0.0000 3.9284
5.5347 0.0000 1.3050
9.9803 0.0000 6.5518
1.5926 0.0000 4.6879
2.8659 0.0000 0.5744
8.1835 0.0000 2.0383
7.3315 0.0000 5.8184
12.6491 0.0000 7.2824
13.9224 0.0000 3.1688
```

Results
Its formation energy without anion corrections is -1.358 eV/atom. The density of states at the Fermi level is 17.14 states/eV/cell.

The following is a DFT calculation (PBE-GGA) of a geometry-optimized TiInCuH2 structure.

Structure (POSCAR):
```
TiInCuH2
1.0
3.8264 0.0000 0.0000
0.0000 3.8264 0.0000
0.0000 0.0000 5.0436
Ti In Cu H
1 1 1 2
Cartesian
0.0000 0.0000 0.0000
1.9132 1.9132 0.0000
0.0000 0.0000 2.5218
0.0000 1.9132 2.5218
1.9132 0.0000 2.5218
```

Results
The density of states at the Fermi level is 3.75 states/eV/cell. For the final energy, the calculation gives -3.58 eV/atom.

The following is a DFT calculation (PBE-GGA) of a geometry-optimized HfAuNF2 structure.

Structure (POSCAR):
```
HfAuNF2
1.0
4.1131 0.0000 0.0000
0.0000 4.1131 0.0000
0.0000 0.0000 4.2947
Hf Au N F
1 1 1 2
Cartesian
0.0000 0.0000 0.0000
2.0566 2.0566 2.1474
0.0000 0.0000 2.1474
0.0000 2.0566 0.0000
2.0566 0.0000 0.0000
```

Results
Its formation energy without anion corrections is -1.532 eV/atom. The density of states at the Fermi level is 0.75 states/eV/cell. The value obtained for the energy above the most stable polymorph in this dataset is 0 meV per atom.

The following is a DFT calculation (PBE-GGA) of a geometry-optimized ZnRe3Sb structure.

Structure (POSCAR):
```
ZnRe3Sb
1.0
4.5606 0.0000 0.0000
0.0000 4.5606 0.0000
0.0000 0.0000 4.5606
Zn Re Sb
1 3 1
Cartesian
0.0000 0.0000 0.0000
0.0000 0.0000 2.2803
0.0000 2.2803 0.0000
2.2803 0.0000 0.0000
2.2803 2.2803 2.2803
```

Results
Its formation energy without anion corrections is 1.996 eV/atom. The density of states at the Fermi level is 4.36 states/eV/cell. The value obtained for the energy above the most stable polymorph in this dataset is 0 meV per atom.

The following is a DFT calculation (PBE-GGA) of a geometry-optimized La3TbSm6Dy2 structure.

Structure (POSCAR):
```
La3TbSm6Dy2
1.0
3.1518 -5.4637 0.0000
3.1518 5.4637 0.0000
-2.1135 0.0000 11.8888
La Tb Sm Dy
3 1 6 2
Cartesian
0.0000 0.0000 0.0000
3.1518 1.8241 0.0000
3.1518 -1.8241 0.0000
2.0950 0.0000 5.9444
1.0478 1.8219 3.0417
-0.0112 0.0000 8.8480
1.0478 -1.8219 3.0417
3.1422 1.8219 8.8470
4.2012 0.0000 3.0407
3.1422 -1.8219 8.8470
2.0950 3.6424 5.9444
2.0950 -3.6424 5.9444
```

Results
The density of states at the Fermi level is 19.37 states/eV/cell. The calculation puts the formation energy at 2.0 kJ/mol of atoms.

The following is a DFT calculation (PBE-GGA) of a geometry-optimized Li3Sc2AlO6 structure.

Structure (POSCAR):
```
Li3Sc2AlO6
1.0
2.6213 -4.5634 0.0000
2.6213 4.5634 0.0000
-1.6829 0.0000 4.8989
Li Sc Al O
3 2 1 6
Cartesian
0.0000 0.0000 0.0000
2.6213 1.3746 0.0000
2.6213 -1.3746 0.0000
1.7798 3.0343 2.4494
1.7798 -3.0343 2.4494
1.7798 0.0000 2.4494
0.9630 1.4169 1.3543
0.1452 0.0000 3.5393
0.9630 -1.4169 1.3543
2.5966 1.4169 3.5445
3.4145 0.0000 1.3596
2.5966 -1.4169 3.5445
```

Results
Its formation energy without anion corrections is -2.841 eV/atom. The density of states at the Fermi level is 0.00 states/eV/cell.